16
Lattice="-3.731 -3.705 -3.002 -1.975 -2.306 5.300 -0.931 7.005 -1.381" Properties=species:S:1:pos:R:3 comment="Na4TiPt3O8 (PBE, relaxed)" raw_formation_energy_ev_per_atom=-1.38 pbc="T T T"
Na -2.331 1.650 -2.192
Ti -0.987 -1.153 2.650
Pt -2.853 -3.005 1.149
Na 0.000 0.000 0.000
Na -0.465 3.502 -0.691
O -2.084 5.139 -0.559
Pt -1.453 2.349 1.959
O -4.115 -1.376 0.706
O -2.602 -2.208 3.045
O -4.553 -4.145 1.475
O -4.396 0.524 -1.289
O -2.241 0.470 2.205
Pt -3.318 0.497 0.458
O -4.035 3.202 -2.129
O -2.522 2.370 0.210
Na -1.866 -1.852 -1.501

---

5
Lattice="3.722 0.000 0.000 0.000 3.722 0.000 1.861 1.861 10.601" Properties=species:S:1:pos:R:3 comment="Li2Ca2Sc (PBE, relaxed)" formation_enthalpy_0k_ev_per_atom=0.1937 e_above_lowest_polymorph_kj_per_mol_fu=4 pbc="T T T"
Li 1.861 3.722 5.301
Sc 0.000 0.000 0.000
Ca 3.722 3.722 8.184
Ca 1.861 1.861 2.417
Li 3.722 1.861 5.301

---

11
Lattice="-4.956 -0.483 2.380 -0.369 -1.708 5.285 -2.052 6.876 3.519" Properties=species:S:1:pos:R:3 comment="Dy2As4Rh5 (PBE, relaxed)" formation_enthalpy_0k_ev_per_atom=-0.7004 pbc="T T T"
As -3.982 4.337 5.386
As -5.668 3.545 8.113
Rh -0.184 -0.854 2.642
Dy -2.162 5.051 2.922
Dy -4.847 1.342 2.977
Rh -2.662 -1.095 3.832
As -1.709 1.141 3.071
Rh -4.928 2.222 6.187
Rh -2.450 2.463 4.997
Rh -2.478 -0.241 1.190
As -3.395 0.349 5.798

---

5
Lattice="5.768 0.000 0.000 0.000 5.768 0.000 0.000 0.000 5.768" Properties=species:S:1:pos:R:3 comment="ScMnI3 (PBE, relaxed)" raw_formation_energy_ev_per_atom=-0.18 e_above_lowest_polymorph_kj_per_mol_fu=0 pbc="T T T"
Sc 0.000 0.000 0.000
Mn 2.884 2.884 2.884
I 2.884 0.000 0.000
I 0.000 2.884 0.000
I 0.000 0.000 2.884

---

- Which formula does entry 4 have?
  ScMnI3

---

- Which formula does entry 1 have?
  Na4TiPt3O8

---

Copy entry 3 word for word.
11
Lattice="-4.956 -0.483 2.380 -0.369 -1.708 5.285 -2.052 6.876 3.519" Properties=species:S:1:pos:R:3 comment="Dy2As4Rh5 (PBE, relaxed)" formation_enthalpy_0k_ev_per_atom=-0.7004 pbc="T T T"
As -3.982 4.337 5.386
As -5.668 3.545 8.113
Rh -0.184 -0.854 2.642
Dy -2.162 5.051 2.922
Dy -4.847 1.342 2.977
Rh -2.662 -1.095 3.832
As -1.709 1.141 3.071
Rh -4.928 2.222 6.187
Rh -2.450 2.463 4.997
Rh -2.478 -0.241 1.190
As -3.395 0.349 5.798